Entry 1:
Be2SiRh2 after structural relaxation. Source: Alexandria, functional PBE.

Computed properties:
The energy above the most stable polymorph in this dataset is 0.07 eV/f.u. The calculation puts the formation energy (no corrections) at -0.51 eV/atom. Its space-group type is P4/mbm. As for the total magnetization: 0.00 μB/f.u. Its electronic total energy is -0.44259 Ry/atom.

Unit cell a=6.2853 b=6.2853 c=2.8090 alpha=90.00 beta=90.00 gamma=90.00
Sites, in units of the cell vectors:
1 Si 0.0000 0.0000 0.0000
2 Rh 0.1776 0.6776 0.5000
3 Be 0.3808 0.8808 0.0000
4 Rh 0.8224 0.3224 0.5000
5 Rh 0.3224 0.1776 0.5000
6 Si 0.5000 0.5000 0.0000
7 Be 0.6192 0.1192 0.0000
8 Rh 0.6776 0.8224 0.5000
9 Be 0.1192 0.3808 0.0000
10 Be 0.8808 0.6192 0.0000

***

Entry 2:
CeCuNi5 after structural relaxation. Source: Alexandria, functional PBE.

Computed properties:
Its space-group type is Pnma. As for the total magnetization: 0.00 μB/f.u. Its electronic total energy is -0.42526 Ry/atom.

Unit cell a=4.8207 b=7.8512 c=9.9454 alpha=90.00 beta=90.00 gamma=90.00
Sites, in units of the cell vectors:
1 Ni 0.5050 0.4347 0.1915
2 Ni 0.7500 0.3136 0.7462
3 Ni 0.5050 0.9347 0.3085
4 Ni 0.0050 0.0653 0.6915
5 Ni 0.4950 0.5653 0.8085
6 Cu 0.2500 0.8551 0.8545
7 Ni 0.7500 0.5546 0.5951
8 Cu 0.7500 0.1449 0.1455
9 Ni 0.2500 0.9454 0.0951
10 Ni 0.0050 0.5653 0.8085
11 Ce 0.2500 0.2441 0.9408
12 Ce 0.7500 0.2559 0.4408
13 Ni 0.9950 0.4347 0.1915
14 Ni 0.7500 0.3950 0.9807
15 Ni 0.2500 0.6864 0.2538
16 Ce 0.7500 0.7559 0.0592
17 Ni 0.2500 0.6050 0.0193
18 Ni 0.2500 0.1864 0.2462
19 Ni 0.9950 0.9347 0.3085
20 Ce 0.2500 0.7441 0.5592
21 Ni 0.7500 0.8136 0.7538
22 Ni 0.4950 0.0653 0.6915
23 Ni 0.2500 0.1050 0.4807
24 Ni 0.2500 0.4454 0.4049
25 Ni 0.7500 0.0546 0.9049
26 Cu 0.7500 0.6449 0.3545
27 Ni 0.7500 0.8950 0.5193
28 Cu 0.2500 0.3551 0.6455

***

Entry 3:
ZrReO2F after structural relaxation. Source: Alexandria, functional PBE.

Computed properties:
The calculation puts the formation energy (no corrections) at -1.09 eV/atom. Its space-group type is P4/mmm. As for the total magnetization: 5.72 μB/f.u. Its electronic total energy is -0.56176 Ry/atom.

Unit cell a=4.1985 b=4.1985 c=4.3517 alpha=90.00 beta=90.00 gamma=90.00
Last column: magnetic moment on the atom in μB.
Sites, in units of the cell vectors:
1 F 0.0000 0.0000 0.5000  0.08
2 Zr 0.0000 0.0000 0.0000  -0.01
3 O 0.5000 0.0000 0.0000  0.14
4 O 0.0000 0.5000 0.0000  0.14
5 Re 0.5000 0.5000 0.5000  4.34

***

Entry 4:
Sc4NiPd2 after structural relaxation. Source: Alexandria, functional PBE.

Computed properties:
Its space-group type is R-3m. As for the total magnetization: 0.00 μB/f.u. Its electronic total energy is -0.48033 Ry/atom.

Unit cell a=4.5924 b=4.5924 c=7.9350 alpha=73.18 beta=73.18 gamma=60.00
Sites, in units of the cell vectors:
1 Pd 0.7481 0.7481 0.7557
2 Sc 0.1248 0.1248 0.6257
3 Sc 0.3754 0.3754 0.8737
4 Ni 0.0000 0.0000 0.0000
5 Pd 0.2519 0.2519 0.2443
6 Sc 0.6246 0.6246 0.1263
7 Sc 0.8752 0.8752 0.3743

***

Entry 5:
MnAlH2 after structural relaxation. Source: Alexandria, functional PBE.

Computed properties:
The energy above the most stable polymorph in this dataset is 0.00 eV/f.u. Its space-group type is R-3m. As for the total magnetization: 1.72 μB/f.u. Its electronic total energy is -0.35343 Ry/atom.

Unit cell a=2.8724 b=2.8724 c=4.9027 alpha=72.97 beta=72.97 gamma=60.00
Last column: magnetic moment on the atom in μB.
Sites, in units of the cell vectors:
1 Al 0.0000 0.0000 0.0000  -0.02
2 H 0.8662 0.8662 0.4015  -0.02
3 Mn 0.5000 0.5000 0.5000  1.82
4 H 0.1338 0.1338 0.5985  -0.02

***

Entry 6:
TiAl2V after structural relaxation. Source: Alexandria, functional PBE.

Computed properties:
The energy above the most stable polymorph in this dataset is 0.02 eV/f.u. Its space-group type is P4/mmm. As for the total magnetization: 0.00 μB/f.u. Its electronic total energy is -0.47301 Ry/atom.

Unit cell a=4.0544 b=3.8742 c=3.8742 alpha=90.00 beta=90.00 gamma=90.00
Sites, in units of the cell vectors:
1 V 0.5000 0.5000 0.5000
2 Ti 0.5000 0.0000 0.0000
3 Al 0.0000 0.5000 0.0000
4 Al 0.0000 0.0000 0.5000

***

Entry 7:
Tl2IrPdO4 after structural relaxation. Source: Alexandria, functional PBE.

Computed properties:
The calculation puts the formation energy (no corrections) at -0.47 eV/atom. Its space-group type is Fddd. As for the total magnetization: 3.01 μB/f.u. Its electronic total energy is -0.38962 Ry/atom.

Unit cell a=5.9499 b=7.0837 c=10.2310 alpha=82.99 beta=73.10 gamma=65.17
Last column: magnetic moment on the atom in μB.
Sites, in units of the cell vectors:
1 O 0.5896 0.2949 0.5022  0.23
2 Ir 0.5000 0.0000 0.0000  1.64
3 O 0.9082 0.7051 0.5022  0.23
4 Tl 0.5834 0.5000 0.8333  0.02
5 Tl 0.9166 0.5000 0.1667  0.02
6 O 0.6345 0.2051 0.0022  0.23
7 O 0.1155 0.2949 0.4978  0.23
8 Pd 0.0000 0.0000 0.0000  0.12
9 Pd 0.7500 0.5000 0.5000  0.12
10 O 0.3633 0.7949 0.0022  0.23
11 O 0.1604 0.2051 0.9978  0.23
12 Ir 0.2500 0.5000 0.5000  1.64
13 Tl 0.8334 0.0000 0.3333  0.02
14 O 0.8418 0.7949 0.9978  0.23
15 O 0.3867 0.7051 0.4978  0.23
16 Tl 0.1666 0.0000 0.6667  0.02

***

Entry 8:
Ti7V5Pt after structural relaxation. Source: Alexandria, functional PBE.

Computed properties:
Its space-group type is Imm2. As for the total magnetization: 0.00 μB/f.u. Its electronic total energy is -0.60538 Ry/atom.

Unit cell a=5.0856 b=6.8601 c=6.8601 alpha=79.53 beta=68.24 gamma=68.24
Sites, in units of the cell vectors:
1 Pt 0.8924 0.1076 0.1076
2 Ti 0.5457 0.1124 0.7963
3 Ti 0.1744 0.8256 0.8256
4 V 0.0453 0.9508 0.4695
5 Ti 0.5457 0.7963 0.1124
6 V 0.5344 0.4695 0.9508
7 V 0.0453 0.4695 0.9508
8 Ti 0.2536 0.2464 0.2464
9 Ti 0.0393 0.2569 0.6644
10 V 0.8316 0.6684 0.6684
11 Ti 0.5187 0.4813 0.4813
12 V 0.5344 0.9508 0.4695
13 Ti 0.0393 0.6644 0.2569